BeTePd3: optimized geometry, PBE.

## Properties
- formation energy (no corrections) (eV per atom) = -0.15
- raw total energy (eV per atom) = -4.6401
- density of states at the Fermi level (states/eV/cell) = 2.27

a = 4.351 Å, b = 4.351 Å, c = 4.351 Å
α = 90.00°, β = 90.00°, γ = 90.00°
Positions (direct):
Be: 0.000 0.000 0.000
Te: 0.500 0.500 0.500
Pd: 0.000 0.500 0.000
Pd: 0.000 0.000 0.500
Pd: 0.500 0.000 0.000